ScFe: optimized geometry, PBE-GGA.

As for the energy relative to the elements: -0.01 eV/atom. The energy comes out at -7.4034 eV per atom.

It has space group P4/nmm (No. 129, origin choice 2), with a = 3.1030 Å, b = 3.1030 Å, c = 7.2398 Å, α = 90.00°, β = 90.00° and γ = 90.00°. The asymmetric unit holds Sc at (0.2500, 0.2500, 0.1881) and Fe at (0.2500, 0.2500, 0.5836).

---

TlBrO2: optimized geometry, PBE-GGA.

For the offset from the most stable computed form, the calculation gives 118 meV per atom. For the formation energy from raw total energies, the calculation gives -227 meV/atom. The energy comes out at -3.7157 eV per atom.

It has space group Pccn (No. 56), with a = 6.4466 Å, b = 6.7382 Å, c = 6.9914 Å, α = 90.00°, β = 90.00° and γ = 90.00°. The asymmetric unit holds Tl at (0.2500, 0.2500, 0.1122), Br at (0.2500, 0.7500, 0.3634) and O at (0.1954, 0.0489, 0.3619).

---

Li2In2GeS6: optimized geometry, PBE-GGA.

For the formation energy from raw total energies, the calculation gives -760 meV/atom. The energy comes out at -4.2773 eV per atom.

It has space group Cc (No. 9), with a = 12.3854 Å, b = 7.2218 Å, c = 12.3431 Å, α = 90.00°, β = 110.02° and γ = 90.00°. The asymmetric unit holds Li at (0.0000, 0.1026, 0.0000), Li at (0.2060, 0.2903, 0.6589), In at (0.0188, 0.4056, 0.3087), In at (0.3445, 0.0726, 0.0035), Ge at (0.2717, 0.2319, 0.2471), S at (0.0142, 0.2531, 0.4891), S at (0.1980, 0.2549, 0.0569), S at (0.2042, 0.0229, 0.8011), S at (0.2203, 0.4836, 0.3215), S at (0.3940, 0.2225, 0.6180) and S at (0.4618, 0.2437, 0.3072).

---

KLaRh2: optimized geometry, PBE-GGA.

For the offset from the most stable computed form, the calculation gives 264 meV per atom. As for the energy relative to the elements: 0.15 eV/atom. The energy comes out at -5.0301 eV per atom.

It has space group Imm2 (No. 44), with a = 3.6945 Å, b = 5.2818 Å, c = 9.5593 Å, α = 90.00°, β = 90.00° and γ = 90.00°. The asymmetric unit holds K at (0.0000, 0.0000, 0.0000), La at (0.0000, 0.5000, 0.8055), Rh at (0.0000, 0.0000, 0.5041) and Rh at (0.0000, 0.5000, 0.2074).

---

TlV2Rh2: optimized geometry, PBE-GGA.

For the offset from the most stable computed form, the calculation gives 0 meV per atom. As for the energy relative to the elements: -0.08 eV/atom. The energy comes out at -7.1389 eV per atom.

It has space group P4/mbm (No. 127), with a = 7.4768 Å, b = 7.4768 Å, c = 2.8301 Å, α = 90.00°, β = 90.00° and γ = 90.00°. The asymmetric unit holds Tl at (0.0000, 0.0000, 0.0000), V at (0.1608, 0.3392, 0.5000) and Rh at (0.1301, 0.6301, 0.0000).

---

Cu2HgPbCl6: optimized geometry, PBE-GGA.

For the formation energy from raw total energies, the calculation gives -667 meV/atom. The energy comes out at -2.9948 eV per atom.

It has space group P-1 (No. 2), with a = 6.8537 Å, b = 6.8564 Å, c = 7.7098 Å, α = 63.66°, β = 63.71° and γ = 60.03°. The asymmetric unit holds Cu at (0.2462, 0.2440, 0.2639), Hg at (0.5000, 0.5000, 0.5000), Pb at (0.0000, 0.0000, 0.0000), Cl at (0.0844, 0.7436, 0.7384), Cl at (0.2571, 0.5653, 0.2611) and Cl at (0.4332, 0.0848, 0.7396).

---

K2Ca2Cr: optimized geometry, PBE-GGA.

For the offset from the most stable computed form, the calculation gives 200 meV per atom. As for the energy relative to the elements: 0.76 eV/atom. The energy comes out at -2.4049 eV per atom.

It has space group I4/mmm (No. 139), with a = 4.6273 Å, b = 4.6273 Å, c = 21.1731 Å, α = 90.00°, β = 90.00° and γ = 90.00°. The asymmetric unit holds K at (0.0000, 0.5000, 0.2500), Ca at (0.0000, 0.0000, 0.0805) and Cr at (0.0000, 0.0000, 0.5000).

---

SrCaMg2Pd: optimized geometry, PBE-GGA.

For the offset from the most stable computed form, the calculation gives 81 meV per atom. As for the energy relative to the elements: -0.20 eV/atom. The energy comes out at -2.6163 eV per atom.

It has space group P4/mmm (No. 123), with a = 5.2760 Å, b = 5.2760 Å, c = 5.6270 Å, α = 90.00°, β = 90.00° and γ = 90.00°. The asymmetric unit holds Sr at (0.0000, 0.0000, 0.0000), Ca at (0.5000, 0.5000, 0.0000), Mg at (0.0000, 0.5000, 0.5000) and Pd at (0.0000, 0.0000, 0.5000).

---

> Among the records above, which one has the lowest energy?

ScFe

---

> Number 7 is which compound?

K2Ca2Cr

---

Repeat the second record exactly.
TlBrO2: optimized geometry, PBE-GGA.

For the offset from the most stable computed form, the calculation gives 118 meV per atom. For the formation energy from raw total energies, the calculation gives -227 meV/atom. The energy comes out at -3.7157 eV per atom.

It has space group Pccn (No. 56), with a = 6.4466 Å, b = 6.7382 Å, c = 6.9914 Å, α = 90.00°, β = 90.00° and γ = 90.00°. The asymmetric unit holds Tl at (0.2500, 0.2500, 0.1122), Br at (0.2500, 0.7500, 0.3634) and O at (0.1954, 0.0489, 0.3619).